No. 1
# KCo2Cu | Alexandria via LeMat-Bulk | PBE | relaxed
data_KCo2Cu
_space_group_name_H-M_alt 'P 4/m m m'
_space_group_IT_number 123
_space_group_name_Hall '-P 4 2'
_cell_length_a 2.6755
_cell_length_b 2.6755
_cell_length_c 8.8835
_cell_angle_alpha 90.00
_cell_angle_beta 90.00
_cell_angle_gamma 90.00
loop_
_atom_site_label
_atom_site_fract_x
_atom_site_fract_y
_atom_site_fract_z
_atom_site_occupancy
K1 0.0000 0.0000 0.0000 1
Co1 0.5000 0.5000 0.3106 1
Cu1 0.0000 0.0000 0.5000 1
# energy relative to the elements	3.235	eV/f.u.
# polymorph energy (0 for the lowest one)	1.121	eV/f.u.
# density of states at the Fermi level	0.868	states/eV per atom
# mass density	5.758	Mg/m³

No. 2
# Tl2OsAu | Alexandria via LeMat-Bulk | PBE | relaxed
data_Tl2OsAu
_space_group_name_H-M_alt 'I 4/m m m'
_space_group_IT_number 139
_space_group_name_Hall '-I 4 2'
_cell_length_a 4.3345
_cell_length_b 4.3345
_cell_length_c 8.4787
_cell_angle_alpha 90.00
_cell_angle_beta 90.00
_cell_angle_gamma 90.00
loop_
_atom_site_label
_atom_site_fract_x
_atom_site_fract_y
_atom_site_fract_z
_atom_site_occupancy
Tl1 0.0000 0.5000 0.2500 1
Os1 0.0000 0.0000 0.0000 1
Au1 0.0000 0.0000 0.5000 1
# energy relative to the elements	3.294	eV/f.u.
# polymorph energy (0 for the lowest one)	0.878	eV/f.u.
# density of states at the Fermi level	0.623	states/eV per atom
# mass density	16.595	Mg/m³

No. 3
# ErPu2Sc | Alexandria via LeMat-Bulk | PBE | relaxed
data_ErPu2Sc
_space_group_name_H-M_alt 'P 4/m m m'
_space_group_IT_number 123
_space_group_name_Hall '-P 4 2'
_cell_length_a 4.6441
_cell_length_b 4.6441
_cell_length_c 4.9453
_cell_angle_alpha 90.00
_cell_angle_beta 90.00
_cell_angle_gamma 90.00
loop_
_atom_site_label
_atom_site_fract_x
_atom_site_fract_y
_atom_site_fract_z
_atom_site_occupancy
Er1 0.0000 0.0000 0.0000 1
Pu1 0.0000 0.5000 0.5000 1
Sc1 0.5000 0.5000 0.0000 1
# energy relative to the elements	0.650	eV/f.u.
# polymorph energy (0 for the lowest one)	0.010	eV/f.u.
# density of states at the Fermi level	3.597	states/eV per atom
# mass density	10.901	Mg/m³

No. 4
# Na3Tm2ZrSe6 | Alexandria via LeMat-Bulk | PBE | relaxed
data_Na3Tm2ZrSe6
_space_group_name_H-M_alt 'C 1 2/m 1'
_space_group_IT_number 12
_space_group_name_Hall '-C 2y'
_cell_length_a 6.9464
_cell_length_b 12.0313
_cell_length_c 7.4248
_cell_angle_alpha 90.00
_cell_angle_beta 108.20
_cell_angle_gamma 90.00
loop_
_atom_site_label
_atom_site_fract_x
_atom_site_fract_y
_atom_site_fract_z
_atom_site_occupancy
Na1 0.0000 0.0000 0.0000 1
Na2 0.0000 0.3314 0.0000 1
Tm1 0.0000 0.1664 0.5000 1
Zr1 0.0000 0.5000 0.5000 1
Se1 0.2385 0.3373 0.7272 1
Se2 0.2493 0.5000 0.2728 1
# density of states at the Fermi level	0.356	states/eV per atom
# formation energy (no corrections)	-1.540	eV per atom
# mass density	5.475	Mg/m³

No. 5
# Tl3SnF7 | Alexandria via LeMat-Bulk | PBE | relaxed
data_Tl3SnF7
_space_group_name_H-M_alt 'C 1 m 1'
_space_group_IT_number 8
_space_group_name_Hall 'C -2y'
_cell_length_a 9.0684
_cell_length_b 8.3773
_cell_length_c 7.2738
_cell_angle_alpha 90.00
_cell_angle_beta 127.50
_cell_angle_gamma 90.00
loop_
_atom_site_label
_atom_site_fract_x
_atom_site_fract_y
_atom_site_fract_z
_atom_site_occupancy
Tl1 0.0000 0.0000 0.0000 1
Tl2 0.0073 0.2683 0.5710 1
Sn1 0.0550 0.5000 0.1206 1
F1 0.1179 0.2672 0.2646 1
F2 0.2150 0.5000 0.0146 1
F3 0.3254 0.5000 0.4557 1
F4 0.3810 0.1535 0.8441 1
F5 0.3847 0.0000 0.2140 1
# density of states at the Fermi level	0.000	states/eV per atom
# formation energy (no corrections)	-2.144	eV per atom
# mass density	6.552	Mg/m³

No. 6
# MgP2Pb | Alexandria via LeMat-Bulk | PBE | relaxed
data_MgP2Pb
_space_group_name_H-M_alt 'R 3 m'
_space_group_IT_number 160
_space_group_name_Hall 'R 3 -2"'
_cell_length_a 3.3511
_cell_length_b 3.3511
_cell_length_c 27.7320
_cell_angle_alpha 90.00
_cell_angle_beta 90.00
_cell_angle_gamma 120.00
loop_
_atom_site_label
_atom_site_fract_x
_atom_site_fract_y
_atom_site_fract_z
_atom_site_occupancy
Mg1 0.0000 0.0000 0.0000 1
P1 0.0000 0.0000 0.2552 1
P2 0.0000 0.0000 0.5448 1
Pb1 0.0000 0.0000 0.7616 1
# energy relative to the elements	0.085	eV/f.u.
# density of states at the Fermi level	0.400	states/eV per atom
# mass density	5.420	Mg/m³

No. 7
# NdAl2NiPt4 | Alexandria via LeMat-Bulk | PBE | relaxed
data_NdAl2NiPt4
_space_group_name_H-M_alt 'R -3 m'
_space_group_IT_number 166
_space_group_name_Hall '-R 3 2"'
_cell_length_a 4.2718
_cell_length_b 4.2718
_cell_length_c 26.2013
_cell_angle_alpha 90.00
_cell_angle_beta 90.00
_cell_angle_gamma 120.00
loop_
_atom_site_label
_atom_site_fract_x
_atom_site_fract_y
_atom_site_fract_z
_atom_site_occupancy
Nd1 0.0000 0.0000 0.0000 1
Al1 0.0000 0.0000 0.2343 1
Ni1 0.0000 0.0000 0.5000 1
Pt1 0.0000 0.0000 0.1323 1
Pt2 0.0000 0.0000 0.4035 1
# energy relative to the elements	-6.833	eV/f.u.
# density of states at the Fermi level	0.722	states/eV per atom
# mass density	12.479	Mg/m³

No. 8
# LaSm3Y2Tm6 | Alexandria via LeMat-Bulk | PBE | relaxed
data_LaSm3Y2Tm6
_space_group_name_H-M_alt 'C 1 2/m 1'
_space_group_IT_number 12
_space_group_name_Hall '-C 2y'
_cell_length_a 6.1727
_cell_length_b 10.6859
_cell_length_c 11.7450
_cell_angle_alpha 90.00
_cell_angle_beta 100.05
_cell_angle_gamma 90.00
loop_
_atom_site_label
_atom_site_fract_x
_atom_site_fract_y
_atom_site_fract_z
_atom_site_occupancy
La1 0.0000 0.0000 0.0000 1
Sm1 0.0000 0.1670 0.5000 1
Sm2 0.0000 0.5000 0.5000 1
Y1 0.0000 0.3333 0.0000 1
Tm1 0.2491 0.3330 0.7488 1
Tm2 0.2502 0.0000 0.7488 1
# energy relative to the elements	0.284	eV/f.u.
# density of states at the Fermi level	1.263	states/eV per atom
# mass density	7.756	Mg/m³